First-principles (PBE) data for an optimized crystal structure of Ta2InSi, as listed in Alexandria via LeMat-Bulk.

Cell: 5.2508 5.2508 2.9345 Å, 99.60 99.60 112.15°
With the nearest neighbours (Å) after each atom.
Element x y z (fractional)
Ta: 0.0000 0.5000 0.0000  2 Si 2.79, 2 In 2.79, 4 Ta 2.93
Ta: 0.5000 0.0000 0.0000  2 Si 2.79, 2 In 2.79, 4 Ta 2.93
In: 0.0000 0.0000 0.5000  4 Ta 2.79, 2 Si 2.93, 2 In 2.93
Si: 0.5000 0.5000 0.5000  4 Ta 2.79, 2 In 2.93, 2 Si 2.93

As for the space group: C2/m. The formation energy (no corrections) is 0.153 eV/atom. The value obtained for the density of states at the Fermi level is 1.9 states/eV per cell. Its energy is -31.25 eV per cell. The calculation puts the volume at 17.878 Å³/atom.


First-principles (PBE) data for an optimized crystal structure of Dy3Tm2Th, as listed in Alexandria via LeMat-Bulk.

Cell: 9.3503 9.3503 9.9957 Å, 122.25 122.25 31.04°
With the nearest neighbours (Å) after each atom.
Element x y z (fractional)
Dy: 0.0826 0.0826 0.2083  1 Th 3.51, 7 Tm 3.53-3.56, 4 Dy 3.53-3.55
Dy: 0.2501 0.2501 0.1251  5 Tm 3.52-3.54, 4 Dy 3.54-3.55, 3 Th 3.56
Dy: 0.4171 0.4171 0.5415  4 Th 3.51-3.53, 4 Dy 3.52-3.54, 4 Tm 3.52-3.57
Dy: 0.5829 0.5829 0.4585  4 Th 3.51-3.53, 4 Dy 3.52-3.54, 4 Tm 3.52-3.57
Dy: 0.7499 0.7499 0.8749  5 Tm 3.52-3.54, 4 Dy 3.54-3.55, 3 Th 3.56
Dy: 0.9174 0.9174 0.7917  1 Th 3.51, 7 Tm 3.53-3.56, 4 Dy 3.53-3.55
Tm: 0.2483 0.2483 0.6241  1 Th 3.52, 8 Dy 3.52-3.57, 3 Tm 3.55
Tm: 0.4164 0.4164 0.0422  8 Dy 3.52-3.55, 2 Th 3.54, 2 Tm 3.55
Tm: 0.5836 0.5836 0.9578  8 Dy 3.52-3.55, 2 Th 3.54, 2 Tm 3.55
Tm: 0.7517 0.7517 0.3759  1 Th 3.52, 8 Dy 3.52-3.57, 3 Tm 3.55
Th: 0.0815 0.0815 0.7055  1 Th 3.48, 8 Dy 3.51-3.56, 3 Tm 3.52-3.54
Th: 0.9185 0.9185 0.2945  1 Th 3.48, 8 Dy 3.51-3.56, 3 Tm 3.52-3.54

As for the space group: C2/m. The value obtained for the density of states at the Fermi level is 18.0 states/eV per cell. Its energy is -59.91 eV per cell. The energy above the lowest structure with this stoichiometry comes out at 0.000 eV/atom. The value obtained for the energy of formation from the pure elements is 36 meV per atom. The calculation puts the volume at 31.266 Å³/atom.


First-principles (PBE) data for an optimized crystal structure of Pr3Cd7Au2, as listed in Alexandria via LeMat-Bulk.

Cell: 10.2263 10.2263 10.2263 Å, 33.74 33.74 33.74°
With the nearest neighbours (Å) after each atom.
Element x y z (fractional)
Pr: 0.0000 0.0000 0.0000  6 Au 3.43, 12 Cd 3.79
Pr: 0.1431 0.1431 0.1431  12 Cd 3.46-3.56, 3 Pr 3.69
Pr: 0.8569 0.8569 0.8569  12 Cd 3.46-3.56, 3 Pr 3.69
Cd: 0.0769 0.5840 0.5840  2 Au 2.90-2.93, 5 Cd 2.93-3.01
Cd: 0.4160 0.4160 0.9231  2 Au 2.90-2.93, 5 Cd 2.93-3.01
Cd: 0.4160 0.9231 0.4160  2 Au 2.90-2.93, 5 Cd 2.93-3.01
Cd: 0.5000 0.5000 0.5000  6 Cd 3.01
Cd: 0.5840 0.0769 0.5840  2 Au 2.90-2.93, 5 Cd 2.93-3.01
Cd: 0.5840 0.5840 0.0769  2 Au 2.90-2.93, 5 Cd 2.93-3.01
Cd: 0.9231 0.4160 0.4160  2 Au 2.90-2.93, 5 Cd 2.93-3.01
Au: 0.3345 0.3345 0.3345  6 Cd 2.90-2.93
Au: 0.6655 0.6655 0.6655  6 Cd 2.90-2.93

As for the space group: R-3m. The value obtained for the density of states at the Fermi level is 10.4 states/eV per cell. Its energy is -31.33 eV per cell. The value obtained for the energy of formation from the pure elements is -336 meV per atom. The calculation puts the volume at 24.501 Å³/atom.


First-principles (PBE) data for an optimized crystal structure of Er3Ge7Pd2, as listed in Alexandria via LeMat-Bulk.

Cell: 4.4077 4.1299 13.1993 Å, 90.00 99.37 90.00°
With the nearest neighbours (Å) after each atom.
Element x y z (fractional)
Er: 0.0000 0.0000 0.0000  12 Ge 3.02-3.14
Er: 0.3147 0.5000 0.6337  9 Ge 3.12-3.29, 4 Pd 3.23-3.33
Er: 0.6853 0.5000 0.3663  9 Ge 3.12-3.29, 4 Pd 3.23-3.33
Ge: 0.1596 0.5000 0.1666  2 Pd 2.48
Ge: 0.2276 0.0000 0.4539  1 Pd 2.42, 2 Ge 2.51
Ge: 0.4100 0.0000 0.8303  2 Pd 2.49-2.62
Ge: 0.5000 0.5000 0.0000  6 Ge 2.86-3.02, 4 Er 3.02
Ge: 0.5900 0.0000 0.1697  2 Pd 2.49-2.62
Ge: 0.7724 0.0000 0.5461  1 Pd 2.42, 2 Ge 2.51
Ge: 0.8404 0.5000 0.8334  2 Pd 2.48
Pd: 0.1209 0.0000 0.2683  5 Ge 2.42-2.62
Pd: 0.8791 0.0000 0.7317  5 Ge 2.42-2.62

As for the space group: P2/m. The value obtained for the density of states at the Fermi level is 4.2 states/eV per cell. Its energy is -63.32 eV per cell. The value obtained for the energy of formation from the pure elements is -577 meV per atom. The calculation puts the volume at 19.755 Å³/atom.


First-principles (PBE) data for an optimized crystal structure of Mo6As7, as listed in Alexandria via LeMat-Bulk.

Cell: 10.3107 10.3107 10.3107 Å, 28.96 28.96 28.96°
With the nearest neighbours (Å) after each atom.
Element x y z (fractional)
Mo: 0.0405 0.0405 0.0405  1 Mo 2.40
Mo: 0.1796 0.1796 0.1796  3 As 2.67
Mo: 0.3260 0.3260 0.3260  3 As 2.60
Mo: 0.6740 0.6740 0.6740  3 As 2.60
Mo: 0.8204 0.8204 0.8204  3 As 2.67
Mo: 0.9595 0.9595 0.9595  1 Mo 2.40
As: 0.0814 0.5778 0.5778  4 As 2.56-2.60, 4 Mo 2.60-2.82
As: 0.4222 0.4222 0.9186  4 As 2.56-2.60, 4 Mo 2.60-2.82
As: 0.4222 0.9186 0.4222  4 As 2.56-2.60, 4 Mo 2.60-2.82
As: 0.5000 0.5000 0.5000  6 As 2.99, 6 Mo 3.00
As: 0.5778 0.0814 0.5778  4 As 2.56-2.60, 4 Mo 2.60-2.82
As: 0.5778 0.5778 0.0814  4 As 2.56-2.60, 4 Mo 2.60-2.82
As: 0.9186 0.4222 0.4222  4 As 2.56-2.60, 4 Mo 2.60-2.82

As for the space group: R-3m. The value obtained for the density of states at the Fermi level is 11.8 states/eV per cell. Its energy is -90.03 eV per cell. The value obtained for the energy of formation from the pure elements is 578 meV per atom. The calculation puts the volume at 17.483 Å³/atom.


First-principles (PBE) data for an optimized crystal structure of K2NiPb2, as listed in Alexandria via LeMat-Bulk.

Cell: 7.1810 7.1810 6.0954 Å, 90.00 90.00 90.00°
With the nearest neighbours (Å) after each atom.
Element x y z (fractional)
K: 0.1765 0.3235 0.0000  6 Pb 3.49-3.88, 5 K 3.59-3.74
K: 0.3235 0.8235 0.0000  6 Pb 3.49-3.88, 5 K 3.59-3.74
K: 0.6765 0.1765 0.0000  6 Pb 3.49-3.88, 5 K 3.59-3.74
K: 0.8235 0.6765 0.0000  6 Pb 3.49-3.88, 5 K 3.59-3.74
Ni: 0.0000 0.0000 0.5000  4 Pb 2.71
Ni: 0.5000 0.5000 0.5000  4 Pb 2.71
Pb: 0.1564 0.6564 0.5000  2 Ni 2.71
Pb: 0.3436 0.1564 0.5000  2 Ni 2.71
Pb: 0.6564 0.8436 0.5000  2 Ni 2.71
Pb: 0.8436 0.3436 0.5000  2 Ni 2.71

As for the space group: P4/mbm. The value obtained for the density of states at the Fermi level is 6.7 states/eV per cell. Its energy is -29.83 eV per cell. The value obtained for the energy of formation from the pure elements is 96 meV per atom. The calculation puts the volume at 31.432 Å³/atom.


First-principles (PBE) data for an optimized crystal structure of Na4CrGa2, as listed in Alexandria via LeMat-Bulk.

Cell: 8.3782 8.3782 8.3782 Å, 139.73 139.73 58.26°
With the nearest neighbours (Å) after each atom.
Element x y z (fractional)
Na: 0.0000 0.5000 0.5000  2 Cr 2.88, 4 Ga 3.15
Na: 0.2117 0.2117 0.0000  1 Ga 2.96, 1 Cr 3.10
Na: 0.5000 0.0000 0.5000  2 Cr 2.88, 4 Ga 3.15
Na: 0.7883 0.7883 0.0000  1 Ga 2.96, 1 Cr 3.10
Cr: 0.0000 0.0000 0.0000  6 Na 2.88-3.10
Ga: 0.4142 0.4142 0.0000  1 Ga 2.51
Ga: 0.5858 0.5858 0.0000  1 Ga 2.51

As for the space group: I4/mmm. The value obtained for the density of states at the Fermi level is 3.3 states/eV per cell. Its energy is -17.20 eV per cell. The value obtained for the energy of formation from the pure elements is 536 meV per atom. The calculation puts the volume at 34.781 Å³/atom.


First-principles (PBE) data for an optimized crystal structure of FeCo2NCl, as listed in Alexandria via LeMat-Bulk.

Cell: 4.0092 4.0092 4.1149 Å, 90.00 90.00 90.00°
With the nearest neighbours (Å) after each atom.
Element x y z (fractional)
Fe: 0.0000 0.0000 0.0000  4 N 2.83, 8 Co 2.87
Co: 0.0000 0.5000 0.5000  2 Cl 2.00
Co: 0.5000 0.0000 0.5000  2 Cl 2.00
N: 0.5000 0.5000 0.0000  2 Cl 2.06
Cl: 0.5000 0.5000 0.5000  4 Co 2.00, 2 N 2.06

As for the space group: P4/mmm. The formation energy (no corrections) is 1.973 eV/atom. The value obtained for the density of states at the Fermi level is 6.8 states/eV per cell. Its energy is -22.98 eV per cell. The calculation puts the volume at 13.228 Å³/atom.


First-principles (PBE) data for an optimized crystal structure of Pr2Dy9Y, as listed in Alexandria via LeMat-Bulk.

Cell: 5.0560 5.0560 15.1621 Å, 90.00 90.00 90.00°
With the nearest neighbours (Å) after each atom.
Element x y z (fractional)
Pr: 0.0000 0.0000 0.1672  12 Dy 3.58-3.59
Pr: 0.0000 0.0000 0.8328  12 Dy 3.58-3.59
Dy: 0.0000 0.5000 0.0000  8 Dy 3.58-3.59, 4 Pr 3.58
Dy: 0.0000 0.5000 0.3350  8 Dy 3.56-3.58, 2 Y 3.56, 2 Pr 3.59
Dy: 0.0000 0.5000 0.6650  8 Dy 3.56-3.58, 2 Y 3.56, 2 Pr 3.59
Dy: 0.5000 0.0000 0.0000  8 Dy 3.58-3.59, 4 Pr 3.58
Dy: 0.5000 0.0000 0.3350  8 Dy 3.56-3.58, 2 Y 3.56, 2 Pr 3.59
Dy: 0.5000 0.0000 0.6650  8 Dy 3.56-3.58, 2 Y 3.56, 2 Pr 3.59
Dy: 0.5000 0.5000 0.1678  4 Pr 3.58, 8 Dy 3.58-3.59
Dy: 0.5000 0.5000 0.5000  8 Dy 3.56, 4 Y 3.58
Dy: 0.5000 0.5000 0.8322  4 Pr 3.58, 8 Dy 3.58-3.59
Y: 0.0000 0.0000 0.5000  12 Dy 3.56-3.58

As for the space group: P4/mmm. The value obtained for the density of states at the Fermi level is 17.7 states/eV per cell. Its energy is -57.17 eV per cell. The energy above the lowest structure with this stoichiometry comes out at 0.000 eV/atom. The value obtained for the energy of formation from the pure elements is 23 meV per atom. The calculation puts the volume at 32.299 Å³/atom.


First-principles (PBE) data for an optimized crystal structure of LaPm4Ru4, as listed in Alexandria via LeMat-Bulk.

Cell: 8.9329 8.9329 5.7202 Å, 90.00 90.00 90.00°
With the nearest neighbours (Å) after each atom.
Element x y z (fractional)
La: 0.2500 0.2500 0.2500  4 Ru 2.67
La: 0.7500 0.7500 0.7500  4 Ru 2.67
Pm: 0.0598 0.6801 0.1273  4 Ru 2.86-3.16
Pm: 0.1801 0.9402 0.6273  4 Ru 2.86-3.16
Pm: 0.3199 0.5598 0.6273  4 Ru 2.86-3.16
Pm: 0.4402 0.8199 0.1273  4 Ru 2.86-3.16
Pm: 0.5598 0.1801 0.8727  4 Ru 2.86-3.16
Pm: 0.6801 0.4402 0.3727  4 Ru 2.86-3.16
Pm: 0.8199 0.0598 0.3727  4 Ru 2.86-3.16
Pm: 0.9402 0.3199 0.8727  4 Ru 2.86-3.16
Ru: 0.0064 0.6243 0.6123  1 Ru 2.57, 1 La 2.67, 2 Pm 2.86
Ru: 0.1243 0.9936 0.1123  1 Ru 2.57, 1 La 2.67, 2 Pm 2.86
Ru: 0.3757 0.5064 0.1123  1 Ru 2.57, 1 La 2.67, 2 Pm 2.86
Ru: 0.4936 0.8757 0.6123  1 Ru 2.57, 1 La 2.67, 2 Pm 2.86
Ru: 0.5064 0.1243 0.3877  1 Ru 2.57, 1 La 2.67, 2 Pm 2.86
Ru: 0.6243 0.4936 0.8877  1 Ru 2.57, 1 La 2.67, 2 Pm 2.86
Ru: 0.8757 0.0064 0.8877  1 Ru 2.57, 1 La 2.67, 2 Pm 2.86
Ru: 0.9936 0.3757 0.3877  1 Ru 2.57, 1 La 2.67, 2 Pm 2.86

As for the space group: P4_2/n. The value obtained for the density of states at the Fermi level is 20.2 states/eV per cell. Its energy is -122.66 eV per cell. The value obtained for the energy of formation from the pure elements is -33 meV per atom. The calculation puts the volume at 25.358 Å³/atom.


What is the density of states at the Fermi level in the seventh record?
3.3 states/eV per cell